(1)
Entry from Alexandria: a relaxed HoBeF5 crystal (PBE).

Values from the calculation:
- Formation energy without anion corrections: -3.76 eV per atom
- Crystal system: monoclinic
- Space-group type: No. 15
- Total moment: 0.000 μB per atom
- Density: 4.0 g cm⁻³

a = 5.6215 Å, b = 5.6215 Å, c = 8.3044 Å
α = 111.37°, β = 111.39°, γ = 88.44°
Element x y z (fractional)
F 0.8013 0.3266 0.1526
F 0.5828 0.9176 0.7501
F 0.2344 0.2516 0.8999
F 0.7656 0.7484 0.1001
F 0.7517 0.7346 0.4000
F 0.2483 0.2654 0.6000
F 0.1735 0.6985 0.3476
F 0.4172 0.0824 0.2499
F 0.8265 0.3015 0.6524
F 0.1987 0.6734 0.8474
Be 0.1238 0.3762 0.7499
Be 0.8762 0.6238 0.2501
Ho 0.5000 0.0000 0.0000
Ho 0.5000 0.0000 0.5000

=====

(2)
Entry from Alexandria: a relaxed KHoBe2F8 crystal (PBE).

Values from the calculation:
- Formation energy without anion corrections: -3.50 eV per atom
- Crystal system: monoclinic
- Space-group type: No. 12
- Total moment: 0.013 μB per atom
- Density: 3.3 g cm⁻³

a = 5.0719 Å, b = 5.0719 Å, c = 8.1261 Å
α = 88.10°, β = 88.10°, γ = 66.01°
Each line ends with the local moment (μB).
Element x y z (fractional)
F 0.7033 0.7033 0.3901  0.06
F 0.7528 0.7528 0.0706  0.00
F 0.2967 0.2967 0.6099  0.06
F 0.2928 0.7616 0.1965  0.00
F 0.7072 0.2384 0.8035  0.00
F 0.2384 0.7072 0.8035  0.00
F 0.7616 0.2928 0.1965  0.00
F 0.2472 0.2472 0.9294  0.00
K 0.0000 0.0000 0.5000  0.00
Be 0.3682 0.3682 0.7740  0.00
Be 0.6318 0.6318 0.2260  0.00
Ho 0.0000 0.0000 0.0000  0.00

=====

(3)
Entry from Alexandria: a relaxed HoBeNF6 crystal (PBE).

Values from the calculation:
- Formation energy without anion corrections: -2.46 eV per atom
- Crystal system: monoclinic
- Space-group type: No. 11
- Total moment: 0.007 μB per atom
- Density: 3.7 g cm⁻³

a = 5.8424 Å, b = 6.7115 Å, c = 7.6679 Å
α = 65.66°, β = 90.00°, γ = 90.00°
Element x y z (fractional)
F 0.2500 0.6390 0.3283
F 0.5341 0.2685 0.4239
F 0.4472 0.3512 0.9586
F 0.0528 0.3512 0.9586
F 0.2500 0.0286 0.3044
F 0.7500 0.9714 0.6956
F 0.9472 0.6488 0.0414
F 0.9659 0.2685 0.4239
F 0.7500 0.3610 0.6717
F 0.0341 0.7315 0.5761
F 0.5528 0.6488 0.0414
F 0.4659 0.7315 0.5761
N 0.7500 0.7346 0.1309
N 0.2500 0.2654 0.8691
Ho 0.7500 0.6244 0.7641
Ho 0.2500 0.3756 0.2359
Be 0.2500 0.7826 0.4428
Be 0.7500 0.2174 0.5572

=====

(4)
Entry from Alexandria: a relaxed RbHoBe2F8 crystal (PBE).

Values from the calculation:
- Formation energy without anion corrections: -3.50 eV per atom
- Crystal system: monoclinic
- Space-group type: No. 12
- Total moment: 0.014 μB per atom
- Density: 3.5 g cm⁻³

a = 5.1147 Å, b = 5.1147 Å, c = 8.4393 Å
α = 86.26°, β = 86.26°, γ = 65.43°
Each line ends with the local moment (μB).
Element x y z (fractional)
Ho 0.0000 0.0000 0.0000  0.00
Be 0.6253 0.6253 0.2192  0.00
Be 0.3747 0.3747 0.7808  0.00
F 0.2434 0.7099 0.8123  0.00
F 0.6862 0.6862 0.3798  0.07
F 0.7099 0.2434 0.8123  0.00
F 0.2457 0.2457 0.9270  0.00
F 0.3138 0.3138 0.6202  0.07
F 0.7566 0.2901 0.1877  0.00
F 0.7543 0.7543 0.0730  0.00
F 0.2901 0.7566 0.1877  0.00
Rb 0.0000 0.0000 0.5000  0.00

=====

Fermi-level density of states, record by record: 0.000 0.000 0.000 0.000 states/eV/atom